K6Hg5 | OQMD via LeMat-Bulk | GGA-PBE | optimized geometry; final energy = -0.950 eV/atom; space-group type = P6_3/m (176)
1.0
14.113 0.000 0.000
-7.057 12.223 0.000
0.000 0.000 5.628
K Hg
12 10
direct
0.008 0.765 0.250 K
0.137 0.518 0.250 K
0.235 0.243 0.250 K
0.243 0.008 0.750 K
0.381 0.863 0.250 K
0.482 0.619 0.250 K
0.518 0.381 0.750 K
0.619 0.137 0.750 K
0.757 0.992 0.250 K
0.765 0.757 0.750 K
0.863 0.482 0.750 K
0.992 0.235 0.750 K
0.000 0.000 0.000 Hg
0.000 0.000 0.500 Hg
0.147 0.715 0.750 Hg
0.285 0.432 0.750 Hg
0.333 0.667 0.750 Hg
0.432 0.147 0.250 Hg
0.568 0.853 0.750 Hg
0.667 0.333 0.250 Hg
0.715 0.568 0.250 Hg
0.853 0.285 0.250 Hg


KHg2 | OQMD via LeMat-Bulk | GGA-PBE | optimized geometry; final energy = -0.844 eV/atom; space-group type = Imma (74)
1.0
-2.651 4.046 4.751
2.651 -4.046 4.751
2.651 4.046 -4.751
K Hg
2 4
direct
0.299 0.049 0.250 K
0.701 0.951 0.750 K
0.110 0.662 0.448 Hg
0.286 0.338 0.948 Hg
0.714 0.662 0.052 Hg
0.890 0.338 0.552 Hg


KHg4 | OQMD via LeMat-Bulk | GGA-PBE | optimized geometry; final energy = -0.639 eV/atom; space-group type = I4/mmm (139)
1.0
-2.506 2.506 6.539
2.506 -2.506 6.539
2.506 2.506 -6.539
K Hg
1 4
direct
0.000 0.000 0.000 K
0.250 0.750 0.500 Hg
0.386 0.386 0.000 Hg
0.614 0.614 0.000 Hg
0.750 0.250 0.500 Hg


KHg | OQMD via LeMat-Bulk | GGA-PBE | optimized geometry; final energy = -0.635 eV/atom; space-group type = F-43m (216)
1.0
0.000 3.958 3.958
3.958 0.000 3.958
3.958 3.958 0.000
K Hg
1 1
direct
0.000 0.000 0.000 K
0.250 0.250 0.250 Hg


K5Hg2 | OQMD via LeMat-Bulk | GGA-PBE | optimized geometry; final energy = -1.024 eV/atom; space-group type = C2/c (15)
1.0
9.778 -3.890 0.000
9.778 3.890 0.000
-1.279 0.000 9.447
K Hg
10 4
direct
0.102 0.898 0.750 K
0.137 0.306 0.318 K
0.283 0.537 0.073 K
0.306 0.137 0.818 K
0.463 0.717 0.427 K
0.537 0.283 0.573 K
0.694 0.863 0.182 K
0.717 0.463 0.927 K
0.863 0.694 0.682 K
0.898 0.102 0.250 K
0.090 0.694 0.418 Hg
0.306 0.910 0.082 Hg
0.694 0.090 0.918 Hg
0.910 0.306 0.582 Hg


KHg | OQMD via LeMat-Bulk | GGA-PBE | optimized geometry; final energy = -0.823 eV/atom; space-group type = Fm-3m (225)
1.0
0.000 3.559 3.559
3.559 0.000 3.559
3.559 3.559 0.000
K Hg
1 1
direct
0.000 0.000 0.000 K
0.500 0.500 0.500 Hg


KHg | OQMD via LeMat-Bulk | GGA-PBE | optimized geometry; final energy = -0.955 eV/atom; space-group type = P-1 (2)
1.0
6.719 0.000 0.000
-0.202 7.038 0.000
-1.491 -2.257 6.689
K Hg
4 4
direct
0.184 0.291 0.140 K
0.258 0.843 0.552 K
0.742 0.157 0.448 K
0.816 0.709 0.860 K
0.295 0.392 0.694 Hg
0.359 0.775 0.060 Hg
0.641 0.225 0.940 Hg
0.705 0.608 0.306 Hg


KHg6 | OQMD via LeMat-Bulk | GGA-PBE | optimized geometry; final energy = -0.572 eV/atom; space-group type = Pnma (62)
1.0
14.260 0.000 0.000
0.000 5.542 0.000
0.000 0.000 11.023
K Hg
4 24
direct
0.181 0.250 0.130 K
0.319 0.750 0.630 K
0.681 0.250 0.370 K
0.819 0.750 0.870 K
0.003 0.750 0.102 Hg
0.046 0.750 0.636 Hg
0.094 0.750 0.354 Hg
0.141 0.750 0.893 Hg
0.154 0.250 0.493 Hg
0.193 0.250 0.766 Hg
0.307 0.750 0.266 Hg
0.346 0.750 0.993 Hg
0.359 0.250 0.393 Hg
0.406 0.250 0.854 Hg
0.454 0.250 0.136 Hg
0.497 0.250 0.602 Hg
0.503 0.750 0.398 Hg
0.546 0.750 0.864 Hg
0.594 0.750 0.146 Hg
0.641 0.750 0.607 Hg
0.654 0.250 0.007 Hg
0.693 0.250 0.734 Hg
0.807 0.750 0.234 Hg
0.846 0.750 0.507 Hg
0.859 0.250 0.107 Hg
0.906 0.250 0.646 Hg
0.954 0.250 0.364 Hg
0.997 0.250 0.898 Hg


KHg2 | OQMD via LeMat-Bulk | GGA-PBE | optimized geometry; final energy = -0.794 eV/atom; space-group type = Fd-3m (227)
1.0
0.000 4.609 4.609
4.609 0.000 4.609
4.609 4.609 0.000
K Hg
2 4
direct
0.125 0.125 0.125 K
0.875 0.875 0.875 K
0.000 0.500 0.500 Hg
0.500 0.000 0.500 Hg
0.500 0.500 0.000 Hg
0.500 0.500 0.500 Hg


KHg11 | OQMD via LeMat-Bulk | GGA-PBE | optimized geometry; distance to the lowest polymorph of the same formula = 0 meV/atom; space-group type = Pm-3m (221)
1.0
10.393 0.000 0.000
0.000 10.393 0.000
0.000 0.000 10.393
K Hg
3 33
direct
0.000 0.000 0.500 K
0.000 0.500 0.000 K
0.500 0.000 0.000 K
0.000 0.345 0.345 Hg
0.000 0.345 0.655 Hg
0.000 0.655 0.345 Hg
0.000 0.655 0.655 Hg
0.153 0.153 0.153 Hg
0.153 0.153 0.847 Hg
0.153 0.847 0.153 Hg
0.153 0.847 0.847 Hg
0.267 0.267 0.500 Hg
0.267 0.500 0.267 Hg
0.267 0.500 0.733 Hg
0.267 0.733 0.500 Hg
0.345 0.000 0.345 Hg
0.345 0.000 0.655 Hg
0.345 0.345 0.000 Hg
0.345 0.655 0.000 Hg
0.500 0.267 0.267 Hg
0.500 0.267 0.733 Hg
0.500 0.500 0.500 Hg
0.500 0.733 0.267 Hg
0.500 0.733 0.733 Hg
0.655 0.000 0.345 Hg
0.655 0.000 0.655 Hg
0.655 0.345 0.000 Hg
0.655 0.655 0.000 Hg
0.733 0.267 0.500 Hg
0.733 0.500 0.267 Hg
0.733 0.500 0.733 Hg
0.733 0.733 0.500 Hg
0.847 0.153 0.153 Hg
0.847 0.153 0.847 Hg
0.847 0.847 0.153 Hg
0.847 0.847 0.847 Hg


KLaHgSe3 | OQMD via LeMat-Bulk | GGA-PBE | optimized geometry; final energy = -4.041 eV/atom; space-group type = P2_1/m (11)
1.0
8.651 0.000 0.000
0.000 4.423 0.000
-2.704 0.000 10.194
K La Hg Se
2 2 2 6
direct
0.249 0.250 0.274 K
0.751 0.750 0.726 K
0.306 0.750 0.866 La
0.694 0.250 0.134 La
0.089 0.250 0.615 Hg
0.911 0.750 0.385 Hg
0.060 0.250 0.858 Se
0.239 0.750 0.550 Se
0.464 0.750 0.150 Se
0.536 0.250 0.850 Se
0.761 0.250 0.450 Se
0.940 0.750 0.142 Se


KLaHgSe3 | OQMD via LeMat-Bulk | GGA-PBE | optimized geometry; final energy = -3.977 eV/atom; space-group type = C2/m (12)
1.0
9.464 -2.209 0.000
9.464 2.209 0.000
-2.290 0.000 8.990
K La Hg Se
2 2 2 6
direct
0.137 0.137 0.071 K
0.863 0.863 0.929 K
0.170 0.170 0.585 La
0.830 0.830 0.415 La
0.481 0.481 0.277 Hg
0.519 0.519 0.723 Hg
0.000 0.000 0.500 Se
0.331 0.331 0.195 Se
0.332 0.332 0.634 Se
0.500 0.500 0.000 Se
0.668 0.668 0.366 Se
0.669 0.669 0.805 Se


K2Li2Hg | OQMD via LeMat-Bulk | GGA-PBE | optimized geometry; final energy = -1.211 eV/atom; space-group type = I4/mmm (139)
1.0
-2.173 2.173 8.646
2.173 -2.173 8.646
2.173 2.173 -8.646
K Li Hg
2 2 1
direct
0.099 0.099 0.000 K
0.901 0.901 0.000 K
0.294 0.294 0.000 Li
0.706 0.706 0.000 Li
0.500 0.500 0.000 Hg


KLi4Mg2Hg | OQMD via LeMat-Bulk | GGA-PBE | optimized geometry; final energy = -1.518 eV/atom; space-group type = P-4m2 (115)
1.0
4.813 0.000 0.000
0.000 4.813 0.000
0.000 0.000 8.240
K Li Mg Hg
1 4 2 1
direct
0.000 0.000 0.000 K
0.000 0.000 0.500 Li
0.000 0.500 0.687 Li
0.500 0.000 0.313 Li
0.500 0.500 0.000 Li
0.000 0.500 0.307 Mg
0.500 0.000 0.693 Mg
0.500 0.500 0.500 Hg


KLuHg | OQMD via LeMat-Bulk | GGA-PBE | optimized geometry; distance to the lowest polymorph of the same formula = 0 meV/atom; space-group type = F-43m (216)
1.0
0.000 3.782 3.782
3.782 0.000 3.782
3.782 3.782 0.000
K Lu Hg
1 1 1
direct
0.000 0.000 0.000 K
0.500 0.500 0.500 Lu
0.250 0.250 0.250 Hg


KLuHgS3 | OQMD via LeMat-Bulk | GGA-PBE | optimized geometry; distance to the lowest polymorph of the same formula = 37 meV/atom; space-group type = C2/m (12)
1.0
8.651 -1.983 0.000
8.651 1.983 0.000
-2.001 0.000 8.669
K Lu Hg S
2 2 2 6
direct
0.144 0.144 0.071 K
0.856 0.856 0.929 K
0.172 0.172 0.579 Lu
0.828 0.828 0.421 Lu
0.485 0.485 0.274 Hg
0.515 0.515 0.726 Hg
0.000 0.000 0.500 S
0.329 0.329 0.219 S
0.329 0.329 0.626 S
0.500 0.500 0.000 S
0.671 0.671 0.374 S
0.671 0.671 0.781 S


KLuHgS3 | OQMD via LeMat-Bulk | GGA-PBE | optimized geometry; distance to the lowest polymorph of the same formula = 14 meV/atom; space-group type = Pnma (62)
1.0
14.436 0.000 0.000
0.000 4.049 0.000
0.000 0.000 10.865
K Lu Hg S
4 4 4 12
direct
0.239 0.250 0.056 K
0.261 0.750 0.556 K
0.739 0.250 0.444 K
0.761 0.750 0.944 K
0.021 0.250 0.353 Lu
0.479 0.750 0.853 Lu
0.521 0.250 0.147 Lu
0.979 0.750 0.647 Lu
0.013 0.750 0.107 Hg
0.487 0.250 0.607 Hg
0.513 0.750 0.393 Hg
0.987 0.250 0.893 Hg
0.090 0.250 0.574 S
0.097 0.750 0.871 S
0.135 0.750 0.270 S
0.365 0.250 0.770 S
0.403 0.250 0.371 S
0.410 0.750 0.074 S
0.590 0.250 0.926 S
0.597 0.750 0.629 S
0.635 0.750 0.230 S
0.865 0.250 0.730 S
0.903 0.250 0.129 S
0.910 0.750 0.426 S


KLuHgS3 | OQMD via LeMat-Bulk | GGA-PBE | optimized geometry; distance to the lowest polymorph of the same formula = 18 meV/atom; space-group type = P2_1/m (11)
1.0
8.022 0.000 0.000
0.000 4.039 0.000
-3.289 0.000 9.799
K Lu Hg S
2 2 2 6
direct
0.241 0.250 0.226 K
0.759 0.750 0.774 K
0.178 0.750 0.630 Lu
0.822 0.250 0.370 Lu
0.408 0.250 0.883 Hg
0.592 0.750 0.117 Hg
0.043 0.750 0.366 S
0.239 0.750 0.935 S
0.416 0.250 0.644 S
0.584 0.750 0.356 S
0.761 0.250 0.065 S
0.957 0.250 0.634 S


KLuHgS3 | OQMD via LeMat-Bulk | GGA-PBE | optimized geometry; distance to the lowest polymorph of the same formula = 12 meV/atom; space-group type = Pnma (62)
1.0
11.002 0.000 0.000
0.000 3.991 0.000
0.000 0.000 14.432
K Lu Hg S
4 4 4 12
direct
0.215 0.250 0.005 K
0.285 0.750 0.505 K
0.715 0.250 0.495 K
0.785 0.750 0.995 K
0.002 0.750 0.735 Lu
0.498 0.250 0.235 Lu
0.502 0.750 0.765 Lu
0.998 0.250 0.265 Lu
0.241 0.750 0.221 Hg
0.259 0.250 0.721 Hg
0.741 0.750 0.279 Hg
0.759 0.250 0.779 Hg
0.032 0.750 0.140 S
0.075 0.250 0.621 S
0.220 0.250 0.335 S
0.280 0.750 0.835 S
0.425 0.750 0.121 S
0.468 0.250 0.640 S
0.532 0.750 0.360 S
0.575 0.250 0.879 S
0.720 0.250 0.165 S
0.780 0.750 0.665 S
0.925 0.750 0.379 S
0.968 0.250 0.860 S


Number 1: mass density 4.23 g cm⁻³. Number 2: mass density 7.17 g cm⁻³. Number 3: mass density 8.50 g cm⁻³. Number 4: mass density 3.21 g cm⁻³. Number 5: mass density 2.76 g cm⁻³. Number 6: mass density 4.42 g cm⁻³. Number 7: mass density 5.03 g cm⁻³. Number 8: mass density 9.47 g cm⁻³. Number 9: mass density 7.47 g cm⁻³. Number 10: mass density 9.97 g cm⁻³. Number 11: mass density 5.24 g cm⁻³. Number 12: mass density 5.44 g cm⁻³. Number 13: mass density 2.97 g cm⁻³. Number 14: mass density 2.75 g cm⁻³. Number 15: mass density 6.36 g cm⁻³. Number 16: mass density 5.70 g cm⁻³. Number 17: mass density 5.34 g cm⁻³. Number 18: mass density 5.34 g cm⁻³. Number 19: mass density 5.36 g cm⁻³.